1.
A plane-wave DFT calculation with PBE-GGA was carried out for a geometry-optimized RbNi2Ag structure.

The value obtained for the electronic total energy is -3.148 eV per atom. The calculated formation energy comes out at 269 kJ/mol of formula units. The calculation puts the energy above the most stable polymorph in this dataset at 0 meV/atom. For the density of states at the Fermi level, the calculation gives 1.68 states/eV/atom.

CIF file:
```
data_RbNi2Ag
_chemical_formula_sum 'Rb4 Ni8 Ag4'
_cell_length_a 4.791
_cell_length_b 4.791
_cell_length_c 18.156
_cell_angle_alpha 90.00
_cell_angle_beta 90.00
_cell_angle_gamma 90.00
_space_group_name_H-M_alt 'I 41/a m d'
_space_group_IT_number 141
loop_
_space_group_symop_operation_xyz
'x,y,z'
'-x,-y,-z'
'-y+1/4,x+3/4,z+1/4'
'y+1/4,-x+3/4,-z+1/4'
'-x+1/2,-y,z+1/2'
'x+1/2,y,-z+1/2'
'y+1/4,-x+1/4,z+3/4'
'-y+1/4,x+1/4,-z+3/4'
'x,-y,-z'
'-x,y,z'
'-y+1/4,-x+1/4,-z+3/4'
'y+1/4,x+1/4,z+3/4'
'-x+1/2,y,-z+1/2'
'x+1/2,-y,z+1/2'
'y+1/4,x+3/4,-z+1/4'
'-y+1/4,-x+3/4,z+1/4'
'x+1/2,y+1/2,z+1/2'
'-x+1/2,-y+1/2,-z+1/2'
'-y+3/4,x+1/4,z+3/4'
'y+3/4,-x+1/4,-z+3/4'
'-x,-y+1/2,z'
'x,y+1/2,-z'
'y+3/4,-x+3/4,z+1/4'
'-y+3/4,x+3/4,-z+1/4'
'x+1/2,-y+1/2,-z+1/2'
'-x+1/2,y+1/2,z+1/2'
'-y+3/4,-x+3/4,-z+1/4'
'y+3/4,x+3/4,z+1/4'
'-x,y+1/2,-z'
'x,-y+1/2,z'
'y+3/4,x+1/4,-z+3/4'
'-y+3/4,-x+1/4,z+3/4'
loop_
_atom_site_label
_atom_site_type_symbol
_atom_site_fract_x
_atom_site_fract_y
_atom_site_fract_z
Rb1 Rb 0.000 0.250 0.375
Ni1 Ni 0.000 0.000 0.000
Ag1 Ag 0.000 0.250 0.875
```

2.
A plane-wave DFT calculation with PBE-GGA was carried out for a geometry-optimized Mn2ZnIn structure.

The value obtained for the electronic total energy is -5.412 eV per atom. The calculated formation energy comes out at 68 kJ/mol of formula units. For the density of states at the Fermi level, the calculation gives 0.74 states/eV/atom.

CIF file:
```
data_Mn2ZnIn
_chemical_formula_sum 'Mn4 Zn2 In2'
_cell_length_a 5.682
_cell_length_b 7.572
_cell_length_c 2.882
_cell_angle_alpha 90.00
_cell_angle_beta 90.00
_cell_angle_gamma 90.00
_space_group_name_H-M_alt 'C m m m'
_space_group_IT_number 65
_space_group_name_Hall '-C 2 2'
loop_
_atom_site_label
_atom_site_type_symbol
_atom_site_fract_x
_atom_site_fract_y
_atom_site_fract_z
Mn1 Mn 0.250 0.250 0.000
Zn1 Zn 0.000 0.000 0.500
In1 In 0.000 0.500 0.500
```

3.
A plane-wave DFT calculation with PBE-GGA was carried out for a geometry-optimized TcPbI6 structure.

The calculation puts the formation energy without anion corrections at -0.263 eV/atom. The value obtained for the electronic total energy is -3.185 eV per atom.

CIF file:
```
data_TcPbI6
_chemical_formula_sum 'Tc2 Pb2 I12'
_cell_length_a 9.394
_cell_length_b 12.047
_cell_length_c 7.800
_cell_angle_alpha 90.00
_cell_angle_beta 112.29
_cell_angle_gamma 90.00
_space_group_name_H-M_alt 'C 1 2/m 1'
_space_group_IT_number 12
loop_
_space_group_symop_operation_xyz
'x,y,z'
'-x,-y,-z'
'-x,y,-z'
'x,-y,z'
'x+1/2,y+1/2,z'
'-x+1/2,-y+1/2,-z'
'-x+1/2,y+1/2,-z'
'x+1/2,-y+1/2,z'
loop_
_atom_site_label
_atom_site_type_symbol
_atom_site_fract_x
_atom_site_fract_y
_atom_site_fract_z
Tc1 Tc 0.000 0.000 0.000
Pb1 Pb 0.000 0.000 0.500
I1 I 0.129 0.163 0.263
I2 I 0.240 0.500 0.084
```

4.
A plane-wave DFT calculation with PBE-GGA was carried out for a geometry-optimized Al2AsCN structure.

The calculation puts the formation energy without anion corrections at 1.095 eV/atom. The value obtained for the electronic total energy is -4.841 eV per atom. For the density of states at the Fermi level, the calculation gives 0.06 states/eV/atom.

CIF file:
```
data_Al2AsCN
_chemical_formula_sum 'Al2 As1 C1 N1'
_cell_length_a 3.690
_cell_length_b 3.690
_cell_length_c 5.160
_cell_angle_alpha 90.00
_cell_angle_beta 90.00
_cell_angle_gamma 90.00
_space_group_name_H-M_alt 'P 4/m m m'
_space_group_IT_number 123
_space_group_name_Hall '-P 4 2'
loop_
_atom_site_label
_atom_site_type_symbol
_atom_site_fract_x
_atom_site_fract_y
_atom_site_fract_z
Al1 Al 0.000 0.500 0.000
As1 As 0.000 0.000 0.500
C1 C 0.500 0.500 0.500
N1 N 0.000 0.000 0.000
```

5.
A plane-wave DFT calculation with PBE-GGA was carried out for a geometry-optimized Li2IrAu structure.

The value obtained for the electronic total energy is -4.057 eV per atom. The calculated formation energy comes out at -25 kJ/mol of formula units. For the density of states at the Fermi level, the calculation gives 0.47 states/eV/atom.

CIF file:
```
data_Li2IrAu
_chemical_formula_sum 'Li4 Ir2 Au2'
_cell_length_a 3.750
_cell_length_b 3.750
_cell_length_c 8.164
_cell_angle_alpha 90.00
_cell_angle_beta 90.00
_cell_angle_gamma 90.00
_space_group_name_H-M_alt 'I -4 m 2'
_space_group_IT_number 119
_space_group_name_Hall 'I -4 -2'
loop_
_atom_site_label
_atom_site_type_symbol
_atom_site_fract_x
_atom_site_fract_y
_atom_site_fract_z
Li1 Li 0.000 0.000 0.000
Li2 Li 0.000 0.500 0.250
Ir1 Ir 0.000 0.000 0.500
Au1 Au 0.000 0.500 0.750
```

6.
A plane-wave DFT calculation with PBE-GGA was carried out for a geometry-optimized Cu2ReH structure.

The value obtained for the electronic total energy is -4.722 eV per atom. The calculation puts the energy above the most stable polymorph in this dataset at 687 meV/atom. For the density of states at the Fermi level, the calculation gives 0.51 states/eV/atom.

CIF file:
```
data_Cu2ReH
_chemical_formula_sum 'Cu8 Re4 H4'
_cell_length_a 5.794
_cell_length_b 5.794
_cell_length_c 5.794
_cell_angle_alpha 90.00
_cell_angle_beta 90.00
_cell_angle_gamma 90.00
_space_group_name_H-M_alt 'F m -3 m'
_space_group_IT_number 225
_space_group_name_Hall '-F 4 2 3'
loop_
_atom_site_label
_atom_site_type_symbol
_atom_site_fract_x
_atom_site_fract_y
_atom_site_fract_z
Cu1 Cu 0.250 0.250 0.250
Re1 Re 0.000 0.000 0.000
H1 H 0.000 0.000 0.500
```